No. 1
An optimized crystal structure of Ca2InTe, computed with PBE-GGA.

Results
Symmetry: P1
M_tot: 0.00 μB per formula unit
Formation energy (no corrections): -0.76 eV per atom
Density of states at the Fermi level: 2.525 states/eV/cell
Electronic total energy: -12.9 eV per cell

Cell and atoms, written as POSCAR:
```
Ca2InTe
1.0
-0.9588 -3.2469 -7.0374
3.6433 -5.0112 -2.8766
-3.8237 2.8370 6.5715
Ca In Te
2 1 1
direct
0.1987 0.8968 0.5748
0.0487 0.8492 0.9228
0.5982 0.4189 0.9733
0.6544 0.3351 0.5291
```

---

No. 2
An optimized crystal structure of KIrW2, computed with PBE-GGA.

Results
Symmetry: Imm2
Energy relative to the elements: 1218 meV per atom
M_tot: 0.01 μB per formula unit
Density of states at the Fermi level: 3.048 states/eV/cell
Electronic total energy: -31.0 eV per cell

Cell and atoms, written as POSCAR:
```
KIrW2
1.0
5.8860 0.0014 -0.0014
2.7674 5.1949 0.0014
-3.4748 -4.0168 2.5370
Ir W K
1 2 1
direct
0.5368 0.5368 0.0000
0.9612 0.9612 0.0000
0.7497 0.2497 0.5000
0.2522 0.7522 0.5000
```

---

No. 3
An optimized crystal structure of Tb2Be4GaPt3, computed with PBE-GGA.

Results
Symmetry: P-4m2
Energy relative to the elements: -759 meV per atom
M_tot: 0.00 μB per formula unit
Density of states at the Fermi level: 5.612 states/eV/cell
Electronic total energy: -52.9 eV per cell

Cell and atoms, written as POSCAR:
```
Tb2Be4GaPt3
1.0
-3.9529 0.5361 0.0293
-0.4840 -3.6530 1.5281
0.5676 3.6922 9.0061
Tb Be Pt Ga
2 4 3 1
direct
0.5000 0.0000 0.2485
0.0000 0.5000 0.7515
0.0000 0.0000 0.0000
0.0000 0.5000 0.3639
0.5000 0.5000 0.0000
0.5000 0.0000 0.6361
0.5000 0.0000 0.8783
0.0000 0.0000 0.5000
0.0000 0.5000 0.1217
0.5000 0.5000 0.5000
```

---

No. 4
An optimized crystal structure of PmHo2Au, computed with PBE-GGA.

Results
Symmetry: Pnma
Energy relative to the elements: -434 meV per atom
M_tot: 0.00 μB per formula unit
Density of states at the Fermi level: 19.898 states/eV/cell
Electronic total energy: -75.7 eV per cell

Cell and atoms, written as POSCAR:
```
PmHo2Au
1.0
6.6564 0.0000 0.0000
0.0000 6.9747 0.0000
0.0000 0.0000 9.9374
Au Pm Ho
4 4 8
direct
0.4339 0.8952 0.2500
0.9339 0.6048 0.7500
0.5661 0.1048 0.7500
0.0661 0.3952 0.2500
0.8740 0.0014 0.2500
0.3740 0.4986 0.7500
0.1260 0.9986 0.7500
0.6260 0.5014 0.2500
0.6811 0.8147 0.5528
0.3189 0.1853 0.4472
0.1811 0.6853 0.4472
0.8189 0.3147 0.9472
0.6811 0.8147 0.9472
0.3189 0.1853 0.0528
0.8189 0.3147 0.5528
0.1811 0.6853 0.0528
```